Crystalline MnPt3O at its relaxed geometry. Source: Alexandria via LeMat-Bulk, functional PBE with a Hubbard U.

The calculation puts the total energy at -3.97 eV/atom. The value obtained for the density is 11.77 g/cm³. Its density of states at the Fermi level is 1.70 states/eV/atom. The calculation puts the total magnetization at 0.000 μB/f.u.

The structure belongs to space group Pm-3m (No. 221); the cell edges are 4.524, 4.524 and 4.524 Å and the angles 90.00°, 90.00° and 90.00°. The distinct sites, in fractional coordinates, are Mn at (0.000, 0.000, 0.000), Pt at (0.000, 0.000, 0.500) and O at (0.500, 0.500, 0.500).